# LaHo2Th4, relaxed, DFT PBE
# space group: P4_2/mnm
# calculated volume: 35.08 A^3/atom
# calculated density: 9.4 g cm⁻³
# calculated total energy: -5.97 eV per atom
data_LaHo2Th4
_chemical_formula_sum 'La2 Ho4 Th8'
_cell_length_a 5.591
_cell_length_b 9.373
_cell_length_c 9.373
_cell_angle_alpha 90.00
_cell_angle_beta 90.00
_cell_angle_gamma 90.00
_space_group_name_H-M_alt 'P 1'
_space_group_IT_number 1
loop_
_space_group_symop_operation_xyz
'x,y,z'
loop_
_atom_site_label
_atom_site_type_symbol
_atom_site_fract_x
_atom_site_fract_y
_atom_site_fract_z
Ho1 Ho 0.000 0.187 0.813
Ho2 Ho 0.000 0.813 0.187
Ho3 Ho 0.500 0.687 0.687
Ho4 Ho 0.500 0.313 0.313
Th1 Th 0.000 0.121 0.381
Th2 Th 0.000 0.879 0.619
Th3 Th 0.500 0.119 0.621
Th4 Th 0.500 0.881 0.379
Th5 Th 0.500 0.379 0.881
Th6 Th 0.500 0.621 0.119
Th7 Th 0.000 0.381 0.121
Th8 Th 0.000 0.619 0.879
La1 La 0.500 0.000 0.000
La2 La 0.000 0.500 0.500